[1]
Material: GdFe2Si2
Method: DFT, PBEsol
State: optimized geometry

VASP energy (eV per atom): -9.507
N(E_F) (states/eV per cell): 5.180

Cell lengths 3.9252, 3.9252, 5.4906 Å; angles 110.94, 110.94, 90.00 degrees
Last column: nearest neighbours and their distance in Å.
Element x y z (fractional)
Fe 0.2500 0.7500 0.5000  4 Si 2.25
Gd 0.0000 0.0000 0.0000  8 Si 3.06, 8 Fe 3.08
Si 0.3652 0.3652 0.7303  4 Fe 2.25
Si 0.6348 0.6348 0.2697  4 Fe 2.25
Fe 0.7500 0.2500 0.5000  4 Si 2.25



[2]
Material: Gd3Y3Fe23
Method: DFT, PBEsol
State: optimized geometry

ΔH_f (0 K) (eV per atom): 0.01
VASP energy (eV per atom): -9.297
N(E_F) (states/eV per cell): 37.838

Cell lengths 8.2545, 8.2545, 8.2691 Å; angles 60.06, 60.06, 60.00 degrees
Last column: nearest neighbours and their distance in Å.
Element x y z (fractional)
Y 0.2896 0.2896 0.7106  12 Fe 2.81-3.02
Fe 0.3193 0.0426 0.3187  9 Fe 2.28-2.51
Fe 0.6363 0.1206 0.1225  7 Fe 2.46-2.57
Fe 0.6755 0.9744 0.6745  9 Fe 2.37-2.52
Fe 0.5011 0.9982 0.5025  8 Fe 2.37-2.57
Y 0.7103 0.2896 0.7106  12 Fe 2.81-3.02
Fe 0.6755 0.6755 0.6745  9 Fe 2.37-2.52
Fe 0.5019 0.9999 0.9963  8 Fe 2.37-2.57
Fe 0.8768 0.8768 0.8785  7 Fe 2.48-2.54
Fe 0.9982 0.5011 0.5025  8 Fe 2.37-2.57
Fe 0.0007 0.0007 0.9980  8 Fe 2.46-2.49
Fe 0.8779 0.8779 0.3662  7 Fe 2.49-2.54
Fe 0.9744 0.6755 0.6745  9 Fe 2.37-2.52
Fe 0.5019 0.5019 0.9963  8 Fe 2.37-2.57
Y 0.2896 0.7103 0.7106  12 Fe 2.81-3.02
Gd 0.7077 0.7077 0.2919  12 Fe 2.82-3.00
Fe 0.6759 0.6759 0.9722  9 Fe 2.38-2.51
Fe 0.1206 0.6363 0.1225  7 Fe 2.46-2.57
Fe 0.1220 0.1220 0.6340  7 Fe 2.46-2.56
Fe 0.1206 0.1206 0.1225  7 Fe 2.46-2.57
Fe 0.9982 0.9982 0.5025  8 Fe 2.37-2.57
Fe 0.3191 0.3191 0.0427  9 Fe 2.28-2.52
Fe 0.3193 0.3193 0.3187  9 Fe 2.28-2.51
Fe 0.9999 0.5019 0.9963  8 Fe 2.37-2.57
Fe 0.8768 0.3679 0.8785  7 Fe 2.48-2.54
Gd 0.7077 0.2927 0.2919  12 Fe 2.82-3.00
Fe 0.0426 0.3193 0.3187  9 Fe 2.28-2.51
Fe 0.3679 0.8768 0.8785  7 Fe 2.48-2.54
Gd 0.2927 0.7077 0.2919  12 Fe 2.82-3.00



[3]
Material: FeGe
Method: DFT, PBEsol
State: optimized geometry

ΔH_f (0 K) (eV per atom): -0.18
VASP energy (eV per atom): -7.135
N(E_F) (states/eV per cell): 4.261

Cell lengths 3.9673, 4.8904, 4.8904 Å; angles 120.00, 90.00, 90.00 degrees
Last column: nearest neighbours and their distance in Å.
Element x y z (fractional)
Fe 0.0000 0.5000 0.5000  6 Ge 2.43-2.45, 4 Fe 2.45
Fe 0.0000 0.0000 0.5000  6 Ge 2.43-2.45, 4 Fe 2.45
Ge 0.5000 0.6667 0.3333  6 Fe 2.43
Fe 0.0000 0.5000 0.0000  6 Ge 2.43-2.45, 4 Fe 2.45
Ge 0.0000 0.0000 0.0000  6 Fe 2.45
Ge 0.5000 0.3333 0.6667  6 Fe 2.43



[4]
Material: Fe6Ge5
Method: DFT, PBEsol
State: optimized geometry

ΔH_f (0 K) (eV per atom): -0.16
VASP energy (eV per atom): -7.296
N(E_F) (states/eV per cell): 19.044

Cell lengths 6.2104, 6.2104, 7.6197 Å; angles 74.40, 74.40, 76.26 degrees
Last column: nearest neighbours and their distance in Å.
Element x y z (fractional)
Ge 0.8442 0.2409 0.7881  7 Fe 2.37-2.50
Ge 0.2409 0.8442 0.7881  7 Fe 2.37-2.50
Fe 0.5000 0.0000 0.5000  6 Ge 2.39-2.47, 4 Fe 2.44-2.60
Fe 0.5797 0.5797 0.7181  7 Ge 2.37-2.62
Fe 0.5446 0.0194 0.8246  6 Ge 2.43-2.66, 5 Fe 2.54-2.70
Fe 0.7462 0.2538 0.5000  6 Ge 2.40-2.43, 4 Fe 2.44-2.66
Ge 0.3647 0.3647 0.9932  7 Fe 2.38-2.66
Fe 0.4554 0.9806 0.1754  6 Ge 2.43-2.66, 5 Fe 2.54-2.70
Fe 0.2538 0.7462 0.5000  6 Ge 2.40-2.43, 4 Fe 2.44-2.66
Fe 0.1248 0.1248 0.9796  3 Fe 2.35-2.56, 5 Ge 2.38-2.48
Ge 0.6353 0.6353 0.0068  7 Fe 2.38-2.66
Fe 0.0194 0.5446 0.8246  6 Ge 2.43-2.66, 5 Fe 2.54-2.70
Ge 0.7591 0.1558 0.2119  7 Fe 2.37-2.50
Ge 0.1500 0.1500 0.3996  7 Fe 2.39-2.48
Fe 0.9806 0.4554 0.1754  6 Ge 2.43-2.66, 5 Fe 2.54-2.70
Ge 0.1558 0.7591 0.2119  7 Fe 2.37-2.50
Ge 0.6578 0.6578 0.3693  8 Fe 2.43-2.62
Fe 0.4203 0.4203 0.2819  7 Ge 2.37-2.62
Ge 0.3422 0.3422 0.6307  8 Fe 2.43-2.62
Ge 0.8500 0.8500 0.6004  7 Fe 2.39-2.48
Fe 0.8752 0.8752 0.0204  3 Fe 2.35-2.56, 5 Ge 2.38-2.48
Fe 0.0000 0.5000 0.5000  6 Ge 2.39-2.47, 4 Fe 2.44-2.60



[5]
Material: Fe7Ge4
Method: DFT, PBEsol
State: optimized geometry

ΔH_f (0 K) (eV per atom): -0.10
VASP energy (eV per atom): -7.601
Distance to the lowest polymorph of the same formula (eV/atom): 0.0247
N(E_F) (states/eV per cell): 8.567

Cell lengths 3.9974, 3.9974, 9.7389 Å; angles 90.00, 90.00, 120.00 degrees
Last column: nearest neighbours and their distance in Å.
Element x y z (fractional)
Fe 0.6667 0.3333 0.2400  5 Ge 2.31-2.53, 3 Fe 2.57
Fe 0.3333 0.6667 0.5000  5 Ge 2.31-2.48
Ge 0.3333 0.6667 0.7542  4 Fe 2.31-2.48
Fe 0.0000 0.0000 0.6229  8 Fe 2.39-2.67, 6 Ge 2.60-2.64
Fe 0.0000 0.0000 0.3771  8 Fe 2.39-2.67, 6 Ge 2.60-2.64
Fe 0.0000 0.0000 0.8762  5 Fe 2.41-2.57, 6 Ge 2.60
Ge 0.6667 0.3333 0.0000  8 Fe 2.34-2.60
Ge 0.3333 0.6667 0.2458  4 Fe 2.31-2.48
Ge 0.6667 0.3333 0.5000  5 Fe 2.31-2.53
Fe 0.0000 0.0000 0.1238  5 Fe 2.41-2.57, 6 Ge 2.60
Fe 0.6667 0.3333 0.7600  5 Ge 2.31-2.53, 3 Fe 2.57



[6]
Material: Fe7Ge4
Method: DFT, PBEsol
State: optimized geometry

ΔH_f (0 K) (eV per atom): -0.13
VASP energy (eV per atom): -7.626
Distance to the lowest polymorph of the same formula (eV/atom): 0.0000
N(E_F) (states/eV per cell): 23.828

Cell lengths 4.8470, 7.8876, 7.8876 Å; angles 120.00, 90.00, 90.00 degrees
Last column: nearest neighbours and their distance in Å.
Element x y z (fractional)
Fe 0.5000 0.5000 0.5000  6 Fe 2.42-2.61, 6 Ge 2.47-2.58
Fe 0.5000 0.5000 0.0000  6 Fe 2.42-2.61, 6 Ge 2.47-2.58
Ge 0.2500 0.3758 0.1879  8 Fe 2.40-2.47
Fe 0.0000 0.5000 0.0000  6 Fe 2.42-2.61, 6 Ge 2.47-2.58
Fe 0.0000 0.0000 0.5000  6 Fe 2.42-2.61, 6 Ge 2.47-2.58
Ge 0.7500 0.1879 0.8121  8 Fe 2.40-2.47
Fe 0.5000 0.0000 0.5000  6 Fe 2.42-2.61, 6 Ge 2.47-2.58
Ge 0.7500 0.6667 0.3333  9 Fe 2.35-2.58
Ge 0.2500 0.8121 0.1879  8 Fe 2.40-2.47
Ge 0.7500 0.1879 0.3758  8 Fe 2.40-2.47
Fe 0.5000 0.0000 0.0000  8 Fe 2.42-2.51
Fe 0.2500 0.1610 0.8390  5 Ge 2.35-2.45, 6 Fe 2.51-2.61
Ge 0.7500 0.6242 0.8121  8 Fe 2.40-2.47
Fe 0.7500 0.8390 0.6780  5 Ge 2.35-2.45, 6 Fe 2.51-2.61
Fe 0.0000 0.0000 0.0000  8 Fe 2.42-2.51
Fe 0.2500 0.1610 0.3220  5 Ge 2.35-2.45, 6 Fe 2.51-2.61
Ge 0.2500 0.3333 0.6667  9 Fe 2.35-2.58
Fe 0.7500 0.8390 0.1610  5 Ge 2.35-2.45, 6 Fe 2.51-2.61
Fe 0.7500 0.3220 0.1610  5 Ge 2.35-2.45, 6 Fe 2.51-2.61
Ge 0.2500 0.8121 0.6242  8 Fe 2.40-2.47
Fe 0.0000 0.5000 0.5000  6 Fe 2.42-2.61, 6 Ge 2.47-2.58
Fe 0.2500 0.6780 0.8390  5 Ge 2.35-2.45, 6 Fe 2.51-2.61



[7]
Material: Fe13Ge3
Method: DFT, PBEsol
State: optimized geometry

ΔH_f (0 K) (eV per atom): -0.09
VASP energy (eV per atom): -8.299
N(E_F) (states/eV per cell): 15.780

Cell lengths 5.6157, 5.6157, 5.6157 Å; angles 90.00, 90.00, 90.00 degrees
Last column: nearest neighbours and their distance in Å.
Element x y z (fractional)
Fe 0.2477 0.7523 0.7523  5 Fe 2.41-2.45, 3 Ge 2.44
Fe 0.2477 0.7523 0.2477  5 Fe 2.41-2.45, 3 Ge 2.44
Fe 0.7523 0.7523 0.2477  5 Fe 2.41-2.45, 3 Ge 2.44
Fe 0.0000 0.0000 0.0000  8 Fe 2.41
Fe 0.2477 0.2477 0.7523  5 Fe 2.41-2.45, 3 Ge 2.44
Fe 0.2477 0.2477 0.2477  5 Fe 2.41-2.45, 3 Ge 2.44
Ge 0.5000 0.5000 0.0000  8 Fe 2.44
Fe 0.0000 0.5000 0.0000  8 Fe 2.42
Ge 0.5000 0.0000 0.5000  8 Fe 2.44
Ge 0.0000 0.5000 0.5000  8 Fe 2.44
Fe 0.0000 0.0000 0.5000  8 Fe 2.42
Fe 0.5000 0.0000 0.0000  8 Fe 2.42
Fe 0.5000 0.5000 0.5000  8 Fe 2.45
Fe 0.7523 0.7523 0.7523  5 Fe 2.41-2.45, 3 Ge 2.44
Fe 0.7523 0.2477 0.2477  5 Fe 2.41-2.45, 3 Ge 2.44
Fe 0.7523 0.2477 0.7523  5 Fe 2.41-2.45, 3 Ge 2.44



[8]
Material: FeGe
Method: DFT, PBEsol
State: optimized geometry

ΔH_f (0 K) (eV per atom): -0.19
VASP energy (eV per atom): -7.140
N(E_F) (states/eV per cell): 6.943

Cell lengths 4.5890, 4.5890, 4.5890 Å; angles 90.00, 90.00, 90.00 degrees
Last column: nearest neighbours and their distance in Å.
Element x y z (fractional)
Ge 0.8420 0.8420 0.8420  7 Fe 2.34-2.57
Ge 0.1580 0.3420 0.6580  7 Fe 2.34-2.57
Fe 0.3635 0.8635 0.6365  7 Ge 2.34-2.57
Fe 0.6365 0.3635 0.8635  7 Ge 2.34-2.57
Fe 0.1365 0.1365 0.1365  7 Ge 2.34-2.57
Ge 0.3420 0.6580 0.1580  7 Fe 2.34-2.57
Fe 0.8635 0.6365 0.3635  7 Ge 2.34-2.57
Ge 0.6580 0.1580 0.3420  7 Fe 2.34-2.57



[9]
Material: FeGeH3
Method: DFT, PBEsol
State: optimized geometry

VASP energy (eV per atom): -4.454
Distance to the lowest polymorph of the same formula (eV/atom): 0.0000
N(E_F) (states/eV per cell): 2.698

Cell lengths 3.3134, 3.3134, 3.3134 Å; angles 90.00, 90.00, 90.00 degrees
Last column: nearest neighbours and their distance in Å.
Element x y z (fractional)
Ge 0.5000 0.5000 0.5000  12 H 2.34
Fe 0.0000 0.0000 0.0000  6 H 1.66
H 0.0000 0.0000 0.5000  2 Fe 1.66
H 0.0000 0.5000 0.0000  2 Fe 1.66
H 0.5000 0.0000 0.0000  2 Fe 1.66



[10]
Material: FeGeH3
Method: DFT, PBEsol
State: optimized geometry

VASP energy (eV per atom): -3.835
Distance to the lowest polymorph of the same formula (eV/atom): 0.6190
N(E_F) (states/eV per cell): 4.091

Cell lengths 3.5298, 3.5298, 3.5298 Å; angles 90.00, 90.00, 90.00 degrees
Last column: nearest neighbours and their distance in Å.
Element x y z (fractional)
Ge 0.0000 0.0000 0.0000  6 H 1.76
H 0.0000 0.5000 0.0000  2 Ge 1.76
H 0.5000 0.0000 0.0000  2 Ge 1.76
H 0.0000 0.0000 0.5000  2 Ge 1.76
Fe 0.5000 0.5000 0.5000  12 H 2.50



[11]
Material: Li2FeGeH
Method: DFT, PBEsol
State: optimized geometry

VASP energy (eV per atom): -4.155
N(E_F) (states/eV per cell): 3.543

Cell lengths 3.4981, 3.4981, 4.3069 Å; angles 90.00, 90.00, 90.00 degrees
Last column: nearest neighbours and their distance in Å.
Element x y z (fractional)
Li 0.5000 0.0000 0.0000  2 H 1.75
H 0.0000 0.0000 0.0000  4 Li 1.75
Li 0.0000 0.5000 0.0000  2 H 1.75
Ge 0.0000 0.0000 0.5000  2 H 2.15
Fe 0.5000 0.5000 0.5000  4 Ge 2.47



[12]
Material: HfFe6Ge6
Method: DFT, PBEsol
State: optimized geometry

ΔH_f (0 K) (eV per atom): -0.31
VASP energy (eV per atom): -7.531
N(E_F) (states/eV per cell): 11.273

Cell lengths 4.9435, 4.9435, 7.9074 Å; angles 90.00, 90.00, 120.00 degrees
Last column: nearest neighbours and their distance in Å.
Element x y z (fractional)
Ge 0.3333 0.6667 0.5000  6 Fe 2.45
Ge 0.6667 0.3333 0.0000  6 Fe 2.43
Fe 0.5000 0.5000 0.7514  6 Ge 2.43-2.58, 4 Fe 2.47
Ge 0.0000 0.0000 0.6589  1 Ge 2.51, 6 Fe 2.58, 1 Hf 2.70
Fe 0.5000 0.0000 0.2486  6 Ge 2.43-2.58, 4 Fe 2.47
Fe 0.5000 0.0000 0.7514  6 Ge 2.43-2.58, 4 Fe 2.47
Ge 0.6667 0.3333 0.5000  6 Fe 2.45
Fe 0.0000 0.5000 0.7514  6 Ge 2.43-2.58, 4 Fe 2.47
Fe 0.5000 0.5000 0.2486  6 Ge 2.43-2.58, 4 Fe 2.47
Hf 0.0000 0.0000 0.0000  8 Ge 2.70-2.85
Fe 0.0000 0.5000 0.2486  6 Ge 2.43-2.58, 4 Fe 2.47
Ge 0.3333 0.6667 0.0000  6 Fe 2.43
Ge 0.0000 0.0000 0.3411  1 Ge 2.51, 6 Fe 2.58, 1 Hf 2.70



[13]
Material: FeHg3Ge
Method: DFT, PBEsol
State: optimized geometry

ΔH_f (0 K) (eV per atom): 0.68
VASP energy (eV per atom): -2.445
N(E_F) (states/eV per cell): 3.422

Cell lengths 4.9209, 4.9209, 4.9209 Å; angles 90.00, 90.00, 90.00 degrees
Last column: nearest neighbours and their distance in Å.
Element x y z (fractional)
Hg 0.0000 0.0000 0.5000  2 Fe 2.46
Hg 0.0000 0.5000 0.0000  2 Fe 2.46
Hg 0.5000 0.0000 0.0000  2 Fe 2.46
Ge 0.5000 0.5000 0.5000  12 Hg 3.48
Fe 0.0000 0.0000 0.0000  6 Hg 2.46



[14]
Material: HoFe4Ge2
Method: DFT, PBEsol
State: optimized geometry

ΔH_f (0 K) (eV per atom): -0.36
VASP energy (eV per atom): -7.602
N(E_F) (states/eV per cell): 10.113

Cell lengths 3.7362, 7.0881, 7.0881 Å; angles 90.00, 90.00, 90.00 degrees
Last column: nearest neighbours and their distance in Å.
Element x y z (fractional)
Fe 0.0000 0.8597 0.4157  5 Fe 2.32-2.49, 3 Ge 2.37-2.40
Ge 0.0000 0.2818 0.2818  6 Fe 2.37-2.40
Ho 0.0000 0.0000 0.0000  6 Ge 2.83-2.88, 4 Fe 3.11
Fe 0.0000 0.5843 0.1403  5 Fe 2.32-2.49, 3 Ge 2.37-2.40
Ge 0.0000 0.7182 0.7182  6 Fe 2.37-2.40
Fe 0.5000 0.0843 0.3597  5 Fe 2.32-2.49, 3 Ge 2.37-2.40
Fe 0.0000 0.1403 0.5843  5 Fe 2.32-2.49, 3 Ge 2.37-2.40
Ge 0.5000 0.2182 0.7818  6 Fe 2.37-2.40
Fe 0.5000 0.6403 0.9157  5 Fe 2.32-2.49, 3 Ge 2.37-2.40
Fe 0.5000 0.3597 0.0843  5 Fe 2.32-2.49, 3 Ge 2.37-2.40
Fe 0.5000 0.9157 0.6403  5 Fe 2.32-2.49, 3 Ge 2.37-2.40
Ho 0.5000 0.5000 0.5000  6 Ge 2.83-2.88, 4 Fe 3.11
Fe 0.0000 0.4157 0.8597  5 Fe 2.32-2.49, 3 Ge 2.37-2.40
Ge 0.5000 0.7818 0.2182  6 Fe 2.37-2.40



[15]
Material: FeGeIN2
Method: DFT, PBEsol
State: optimized geometry

VASP energy (eV per atom): -5.194
N(E_F) (states/eV per cell): 6.529

Cell lengths 3.7016, 3.7016, 6.3635 Å; angles 90.00, 90.00, 90.00 degrees
Last column: nearest neighbours and their distance in Å.
Element x y z (fractional)
Fe 0.5000 0.5000 0.5000  4 I 2.62
Ge 0.0000 0.0000 0.0000  4 N 1.85
N 0.0000 0.5000 0.0000  2 Ge 1.85
I 0.0000 0.0000 0.5000  4 Fe 2.62
N 0.5000 0.0000 0.0000  2 Ge 1.85



[16]
Material: FeGeI2O
Method: DFT, PBEsol
State: optimized geometry

VASP energy (eV per atom): -4.278
N(E_F) (states/eV per cell): 4.726

Cell lengths 3.6820, 5.6223, 5.6223 Å; angles 90.00, 90.00, 90.00 degrees
Last column: nearest neighbours and their distance in Å.
Element x y z (fractional)
Ge 0.0000 0.0000 0.0000  2 O 1.84
O 0.5000 0.0000 0.0000  2 Ge 1.84
I 0.0000 0.0000 0.5000  2 Ge 2.81
I 0.0000 0.5000 0.0000  2 Ge 2.81
Fe 0.5000 0.5000 0.5000  8 I 3.36, 2 Fe 3.68



[17]
Material: FeGeSbI2
Method: DFT, PBEsol
State: optimized geometry

VASP energy (eV per atom): -3.824
N(E_F) (states/eV per cell): 6.820

Cell lengths 4.9222, 5.1512, 5.1512 Å; angles 90.00, 90.00, 90.00 degrees
Last column: nearest neighbours and their distance in Å.
Element x y z (fractional)
Fe 0.0000 0.0000 0.0000  2 Sb 2.46, 4 I 2.58
I 0.0000 0.5000 0.0000  2 Fe 2.58
I 0.0000 0.0000 0.5000  2 Fe 2.58
Sb 0.5000 0.0000 0.0000  2 Fe 2.46
Ge 0.5000 0.5000 0.5000  8 I 3.56, 4 Sb 3.64



[18]
Material: FeGeIr2Rh
Method: DFT, PBEsol
State: optimized geometry

ΔH_f (0 K) (eV per atom): 1.22
VASP energy (eV per atom): -7.114
N(E_F) (states/eV per cell): 6.026

Cell lengths 4.4096, 4.4688, 4.4688 Å; angles 90.00, 90.00, 90.00 degrees
Last column: nearest neighbours and their distance in Å.
Element x y z (fractional)
Ir 0.0000 0.0000 0.5000  2 Ge 2.23
Fe 0.5000 0.5000 0.5000  8 Ir 3.14, 4 Rh 3.16
Rh 0.5000 0.0000 0.0000  2 Ge 2.20
Ge 0.0000 0.0000 0.0000  2 Rh 2.20, 4 Ir 2.23
Ir 0.0000 0.5000 0.0000  2 Ge 2.23



[19]
Material: LaFeGe3
Method: DFT, PBEsol
State: optimized geometry

ΔH_f (0 K) (eV per atom): -0.60
VASP energy (eV per atom): -6.427
N(E_F) (states/eV per cell): 2.478

Cell lengths 4.2957, 4.2957, 5.7940 Å; angles 111.76, 111.76, 90.00 degrees
Last column: nearest neighbours and their distance in Å.
Element x y z (fractional)
Ge 0.6782 0.1782 0.3565  2 Fe 2.33
Ge 0.1782 0.6782 0.3565  2 Fe 2.33
La 0.4343 0.4343 0.8685  12 Ge 3.10-3.32, 5 Fe 3.30-3.45
Ge 0.9967 0.9967 0.9933  1 Fe 2.25
Fe 0.7689 0.7689 0.5377  5 Ge 2.25-2.33



[20]
Material: LaFe3Ge
Method: DFT, PBEsol
State: optimized geometry

ΔH_f (0 K) (eV per atom): 0.46
VASP energy (eV per atom): -6.979
N(E_F) (states/eV per cell): 7.363

Cell lengths 4.4914, 4.4914, 4.4914 Å; angles 90.00, 90.00, 90.00 degrees
Last column: nearest neighbours and their distance in Å.
Element x y z (fractional)
Fe 0.0000 0.5000 0.0000  2 Ge 2.25
Fe 0.0000 0.0000 0.5000  2 Ge 2.25
La 0.5000 0.5000 0.5000  12 Fe 3.18
Fe 0.5000 0.0000 0.0000  2 Ge 2.25
Ge 0.0000 0.0000 0.0000  6 Fe 2.25